Entry from Alexandria via LeMat-Bulk: an optimized crystal structure of InH3Br (PBE).

## Properties
SG: P-1 (2)
crystal system: triclinic

a = 3.7575 Å, b = 4.4686 Å, c = 10.5528 Å
α = 77.79°, β = 80.52°, γ = 90.00°
Last column: nearest neighbours and their distance in Å.
Element x y z (fractional)
In 0.1840 0.1725 0.1537  3 H 1.75-1.92
In 0.8160 0.8275 0.8463  3 H 1.75-1.92
H 0.2589 0.2592 0.9812  1 In 1.75
H 0.3353 0.8462 0.8090  2 In 1.91-1.92
H 0.4996 0.0842 0.4999  1 H 0.75
H 0.5004 0.9158 0.5001  1 H 0.75
H 0.6647 0.1538 0.1910  2 In 1.91-1.92
H 0.7411 0.7408 0.0188  1 In 1.75
Br 0.1070 0.5964 0.3062  2 In 2.72
Br 0.8930 0.4036 0.6938  2 In 2.72

=====

Entry from Alexandria via LeMat-Bulk: an optimized crystal structure of CoCuSCl2 (PBE).

## Properties
SG: P4/mmm (123)
formation energy from raw total energies: 0.51 eV/atom
Fermi-level density of states: 10.04 states/eV per cell
crystal system: tetragonal

a = 4.4794 Å, b = 4.4794 Å, c = 5.0111 Å
α = 90.00°, β = 90.00°, γ = 90.00°
Last column: nearest neighbours and their distance in Å.
Element x y z (fractional)
Co 0.0000 0.0000 0.0000  4 S 3.17, 8 Cl 3.36
Cu 0.5000 0.5000 0.5000  4 Cl 2.24, 2 S 2.51
S 0.5000 0.5000 0.0000  2 Cu 2.51
Cl 0.0000 0.5000 0.5000  2 Cu 2.24
Cl 0.5000 0.0000 0.5000  2 Cu 2.24

=====

no.,E (eV per atom),E above lowest polymorph (eV per atom)
1,-2.930,0.0000
2,-3.298,0.2671